(A)
{"formula": "Na2Tc2Pt", "functional": "PBE", "state": "relaxed", "magnetic_moment_mub_per_fu": 0.000, "dos_at_fermi_per_ev_cell": 8.18, "crystal_system": "tetragonal", "spacegroup": "I4/mmm", "density_g_cm3": 7.555, "lattice_angstrom": [[3.599, 0.000, 0.000], [0.000, 3.599, 0.000], [0.000, 0.000, 14.833]], "species": ["Na", "Na", "Na", "Na", "Tc", "Tc", "Tc", "Tc", "Pt", "Pt"], "fractional_positions": [[0.000, 0.500, 0.250], [0.000, 0.500, 0.750], [0.500, 0.000, 0.250], [0.500, 0.000, 0.750], [0.000, 0.000, 0.074], [0.000, 0.000, 0.926], [0.500, 0.500, 0.426], [0.500, 0.500, 0.574], [0.000, 0.000, 0.500], [0.500, 0.500, 0.000]]}

---

(B)
{"formula": "Na2Tc2Pt", "functional": "PBE", "state": "relaxed", "magnetic_moment_mub_per_fu": 1.756, "dos_at_fermi_per_ev_cell": 7.99, "crystal_system": "tetragonal", "spacegroup": "P4/mbm", "density_g_cm3": 6.757, "lattice_angstrom": [[6.441, 0.000, 0.000], [0.000, 6.441, 0.000], [0.000, 0.000, 5.178]], "species": ["Na", "Na", "Na", "Na", "Tc", "Tc", "Tc", "Tc", "Pt", "Pt"], "fractional_positions": [[0.183, 0.317, 0.000], [0.317, 0.817, 0.000], [0.683, 0.183, 0.000], [0.817, 0.683, 0.000], [0.119, 0.619, 0.500], [0.381, 0.119, 0.500], [0.619, 0.881, 0.500], [0.881, 0.381, 0.500], [0.000, 0.000, 0.500], [0.500, 0.500, 0.500]]}

---

Computed relative energies in units of kJ/mol of atoms: (A) 35.8; (B) 0.0

---

(A)
{"formula": "NaTc3Pt", "functional": "PBE", "state": "relaxed", "magnetic_moment_mub_per_fu": 1.976, "dos_at_fermi_per_ev_cell": 5.52, "crystal_system": "cubic", "spacegroup": "Pm-3m", "density_g_cm3": 10.073, "lattice_angstrom": [[4.387, 0.000, 0.000], [0.000, 4.387, 0.000], [0.000, 0.000, 4.387]], "species": ["Na", "Tc", "Tc", "Tc", "Pt"], "fractional_positions": [[0.000, 0.000, 0.000], [0.000, 0.000, 0.500], [0.000, 0.500, 0.000], [0.500, 0.000, 0.000], [0.500, 0.500, 0.500]]}

---

(B)
{"formula": "NaTc3Pt", "functional": "PBE", "state": "relaxed", "magnetic_moment_mub_per_fu": 4.891, "dos_at_fermi_per_ev_cell": 10.47, "crystal_system": "cubic", "spacegroup": "Pm-3m", "density_g_cm3": 7.356, "lattice_angstrom": [[4.871, 0.000, 0.000], [0.000, 4.871, 0.000], [0.000, 0.000, 4.871]], "species": ["Na", "Tc", "Tc", "Tc", "Pt"], "fractional_positions": [[0.000, 0.000, 0.000], [0.000, 0.500, 0.500], [0.500, 0.000, 0.500], [0.500, 0.500, 0.000], [0.500, 0.500, 0.500]]}

---

Computed relative energies in units of kJ/mol of atoms: (A) 60.0; (B) 0.0

---

(A)
{"formula": "NaTcPt2", "functional": "PBE", "state": "relaxed", "magnetic_moment_mub_per_fu": 2.636, "dos_at_fermi_per_ev_cell": 20.83, "crystal_system": "cubic", "spacegroup": "Fm-3m", "density_g_cm3": 13.003, "lattice_angstrom": [[6.392, 0.000, 0.000], [0.000, 6.392, 0.000], [0.000, 0.000, 6.392]], "species": ["Na", "Na", "Na", "Na", "Tc", "Tc", "Tc", "Tc", "Pt", "Pt", "Pt", "Pt", "Pt", "Pt", "Pt", "Pt"], "fractional_positions": [[0.000, 0.000, 0.000], [0.000, 0.500, 0.500], [0.500, 0.000, 0.500], [0.500, 0.500, 0.000], [0.000, 0.000, 0.500], [0.000, 0.500, 0.000], [0.500, 0.000, 0.000], [0.500, 0.500, 0.500], [0.250, 0.250, 0.250], [0.250, 0.250, 0.750], [0.250, 0.750, 0.250], [0.250, 0.750, 0.750], [0.750, 0.250, 0.250], [0.750, 0.250, 0.750], [0.750, 0.750, 0.250], [0.750, 0.750, 0.750]]}

---

(B)
{"formula": "NaTcPt2", "functional": "PBE", "state": "relaxed", "magnetic_moment_mub_per_fu": 3.061, "dos_at_fermi_per_ev_cell": 17.69, "crystal_system": "tetragonal", "spacegroup": "I-42d", "density_g_cm3": 11.341, "lattice_angstrom": [[7.356, 0.000, 0.000], [0.000, 7.356, 0.000], [0.000, 0.000, 5.533]], "species": ["Na", "Na", "Na", "Na", "Tc", "Tc", "Tc", "Tc", "Pt", "Pt", "Pt", "Pt", "Pt", "Pt", "Pt", "Pt"], "fractional_positions": [[0.000, 0.000, 0.000], [0.000, 0.500, 0.250], [0.500, 0.000, 0.750], [0.500, 0.500, 0.500], [0.000, 0.000, 0.500], [0.000, 0.500, 0.750], [0.500, 0.000, 0.250], [0.500, 0.500, 0.000], [0.217, 0.250, 0.625], [0.250, 0.717, 0.875], [0.250, 0.783, 0.375], [0.283, 0.250, 0.125], [0.717, 0.750, 0.125], [0.750, 0.217, 0.375], [0.750, 0.283, 0.875], [0.783, 0.750, 0.625]]}

---

Computed relative energies in units of kJ/mol of atoms: (A) 0.0; (B) 22.8